Entry 1:
{
  "formula": "NbInFeHg",
  "functional": "GGA-PBE",
  "state": "optimized geometry",
  "e_above_lowest_polymorph_mev_per_atom": 69,
  "rho_g_cm3": 11.0,
  "total_energy_ev_per_atom": -4.89,
  "sg": "F-43m, No. 216",
  "lattice": [[6.541, 0.000, 0.000], [0.000, 6.541, 0.000], [0.000, 0.000, 6.541]],
  "species": ["Nb", "Nb", "Nb", "Nb", "In", "In", "In", "In", "Fe", "Fe", "Fe", "Fe", "Hg", "Hg", "Hg", "Hg"],
  "fractional_positions": [[0.000, 0.000, 0.000], [0.000, 0.500, 0.500], [0.500, 0.000, 0.500], [0.500, 0.500, 0.000], [0.250, 0.250, 0.250], [0.250, 0.750, 0.750], [0.750, 0.250, 0.750], [0.750, 0.750, 0.250], [0.000, 0.000, 0.500], [0.000, 0.500, 0.000], [0.500, 0.000, 0.000], [0.500, 0.500, 0.500], [0.250, 0.250, 0.750], [0.250, 0.750, 0.250], [0.750, 0.250, 0.250], [0.750, 0.750, 0.750]]
}



Entry 2:
{
  "formula": "KDy",
  "functional": "GGA-PBE",
  "state": "optimized geometry",
  "rho_g_cm3": 2.1,
  "total_energy_ev_per_atom": -1.02,
  "sg": "F-43m, No. 216",
  "lattice": [[8.656, 0.000, 0.000], [0.000, 8.656, 0.000], [0.000, 0.000, 8.656]],
  "species": ["K", "K", "K", "K", "Dy", "Dy", "Dy", "Dy"],
  "fractional_positions": [[0.000, 0.000, 0.000], [0.000, 0.500, 0.500], [0.500, 0.000, 0.500], [0.500, 0.500, 0.000], [0.250, 0.250, 0.250], [0.250, 0.750, 0.750], [0.750, 0.250, 0.750], [0.750, 0.750, 0.250]]
}



Entry 3:
{
  "formula": "RbNpPb",
  "functional": "GGA-PBE",
  "state": "optimized geometry",
  "rho_g_cm3": 6.7,
  "total_energy_ev_per_atom": -5.03,
  "sg": "F-43m, No. 216",
  "lattice": [[8.048, 0.000, 0.000], [0.000, 8.048, 0.000], [0.000, 0.000, 8.048]],
  "species": ["Rb", "Rb", "Rb", "Rb", "Np", "Np", "Np", "Np", "Pb", "Pb", "Pb", "Pb"],
  "fractional_positions": [[0.000, 0.000, 0.000], [0.000, 0.500, 0.500], [0.500, 0.000, 0.500], [0.500, 0.500, 0.000], [0.000, 0.000, 0.500], [0.000, 0.500, 0.000], [0.500, 0.000, 0.000], [0.500, 0.500, 0.500], [0.250, 0.250, 0.750], [0.250, 0.750, 0.250], [0.750, 0.250, 0.250], [0.750, 0.750, 0.750]]
}



What did the first record say?
{
  "formula": "NbInFeHg",
  "functional": "GGA-PBE",
  "state": "optimized geometry",
  "e_above_lowest_polymorph_mev_per_atom": 69,
  "rho_g_cm3": 11.0,
  "total_energy_ev_per_atom": -4.89,
  "sg": "F-43m, No. 216",
  "lattice": [[6.541, 0.000, 0.000], [0.000, 6.541, 0.000], [0.000, 0.000, 6.541]],
  "species": ["Nb", "Nb", "Nb", "Nb", "In", "In", "In", "In", "Fe", "Fe", "Fe", "Fe", "Hg", "Hg", "Hg", "Hg"],
  "fractional_positions": [[0.000, 0.000, 0.000], [0.000, 0.500, 0.500], [0.500, 0.000, 0.500], [0.500, 0.500, 0.000], [0.250, 0.250, 0.250], [0.250, 0.750, 0.750], [0.750, 0.250, 0.750], [0.750, 0.750, 0.250], [0.000, 0.000, 0.500], [0.000, 0.500, 0.000], [0.500, 0.000, 0.000], [0.500, 0.500, 0.500], [0.250, 0.250, 0.750], [0.250, 0.750, 0.250], [0.750, 0.250, 0.250], [0.750, 0.750, 0.750]]
}



Copy entry 2 word for word.
{
  "formula": "KDy",
  "functional": "GGA-PBE",
  "state": "optimized geometry",
  "rho_g_cm3": 2.1,
  "total_energy_ev_per_atom": -1.02,
  "sg": "F-43m, No. 216",
  "lattice": [[8.656, 0.000, 0.000], [0.000, 8.656, 0.000], [0.000, 0.000, 8.656]],
  "species": ["K", "K", "K", "K", "Dy", "Dy", "Dy", "Dy"],
  "fractional_positions": [[0.000, 0.000, 0.000], [0.000, 0.500, 0.500], [0.500, 0.000, 0.500], [0.500, 0.500, 0.000], [0.250, 0.250, 0.250], [0.250, 0.750, 0.750], [0.750, 0.250, 0.750], [0.750, 0.750, 0.250]]
}